Density functional theory data (meta-GGA SCAN) for a crystal of BaTl2In relaxed with PBEsol.

Summary:
DFT formation energy: -0.45 eV/atom

Cell: 5.0284 5.0284 17.4428 Å, 90.00 90.00 120.00°
Space group R-3m (No. 166, hexagonal axes)
One atom of each set of equivalent atoms:
Ba1 0.0000 0.0000 0.0000
Tl1 0.0000 0.0000 0.2267
In1 0.0000 0.0000 0.5000

Density functional theory data (meta-GGA SCAN) for a crystal of SbTePt2 relaxed with PBEsol.

Summary:
Formation energy (no corrections): -353 meV/atom

Cell: 3.8894 3.8894 18.8756 Å, 90.00 90.00 120.00°
Space group R-3m (No. 166, hexagonal axes)
One atom of each set of equivalent atoms:
Sb1 0.0000 0.0000 0.0000
Te1 0.0000 0.0000 0.5000
Pt1 0.0000 0.0000 0.2525

Density functional theory data (meta-GGA SCAN) for a crystal of BePt3Rh relaxed with PBEsol.

Summary:
DFT formation energy: 1.71 eV/atom

Cell: 4.704 4.704 4.704 Å, 90.00 90.00 90.00°
Space group Pm-3m (No. 221)
One atom of each set of equivalent atoms:
Be1 0.000 0.000 0.000
Pt1 0.000 0.500 0.500
Rh1 0.500 0.500 0.500

Density functional theory data (meta-GGA SCAN) for a crystal of Ba2Mg relaxed with PBEsol.

Summary:
DFT formation energy: 0.00 eV/atom

Cell: 4.418 19.348 6.348 Å, 90.00 90.00 90.00°
Space group Cmcm (No. 63)
One atom of each set of equivalent atoms:
Ba1 0.000 0.073 0.250
Ba2 0.000 0.232 0.750
Mg1 0.000 0.415 0.250

Density functional theory data (meta-GGA SCAN) for a crystal of Zn2CrWO6 relaxed with PBEsol.

Summary:
Formation energy (no corrections): -1952 meV/atom
Polymorph energy (0 for the lowest one): 0.05 eV/f.u.

Cell: 5.156 5.174 9.113 Å, 90.00 123.95 90.00°
Space group P2_1/c (No. 14)
One atom of each set of equivalent atoms:
Zn1 0.238 0.030 0.248
Cr1 0.000 0.000 0.500
W1 0.500 0.000 0.000
O1 0.139 0.082 0.753
O2 0.235 0.675 0.558
O3 0.398 0.178 0.569

Density functional theory data (meta-GGA SCAN) for a crystal of GaFeI2F relaxed with PBEsol.

Summary:
Formation energy (no corrections): 111 meV/atom

Cell: 5.765 5.765 3.891 Å, 90.00 90.00 90.00°
Space group P4/mmm (No. 123)
One atom of each set of equivalent atoms:
Ga1 0.000 0.000 0.000
Fe1 0.500 0.500 0.000
I1 0.000 0.500 0.500
F1 0.000 0.000 0.500

Calculated total energy readings, ordered: -658.38, -648.93, -240.17, -336.27, -344.01, -110.95 eV for the cell shown